# 1
Material: CaY2Al
Method: DFT, PBE
State: optimized geometry

Geometry as POSCAR:
```
CaY2Al
1.0
-1.8544 2.7357 5.8432
1.8544 -2.7357 5.8432
1.8544 2.7357 -5.8432
Ca Y Al
1 2 1
Direct
0.0000 0.0000 0.0000 Ca
0.2896 0.7896 0.5000 Y
0.7104 0.2104 0.5000 Y
0.5000 0.5000 0.0000 Al
```

Symmetry   Immm (71)
Calculated total energy   -4.8114 eV per atom



# 2
Material: CaY2Al
Method: DFT, PBE
State: optimized geometry

Geometry as POSCAR:
```
CaY2Al
1.0
0.0000 3.8532 3.8532
3.8532 0.0000 3.8532
3.8532 3.8532 0.0000
Ca Y Al
1 2 1
Direct
0.0000 0.0000 0.0000 Ca
0.5000 0.5000 0.5000 Y
0.7500 0.7500 0.7500 Y
0.2500 0.2500 0.2500 Al
```

Symmetry   F-43m (216)
Calculated total energy   -4.6216 eV per atom



# 3
Material: CaYAl3
Method: DFT, PBE
State: optimized geometry

Geometry as POSCAR:
```
CaYAl3
1.0
5.4519 0.0000 0.0000
0.0000 5.4519 0.0000
0.0000 0.0000 5.4519
Ca Y Al
1 1 3
Direct
0.0000 0.0000 0.0000 Ca
0.5000 0.5000 0.5000 Y
0.0000 0.5000 0.5000 Al
0.5000 0.0000 0.5000 Al
0.5000 0.5000 0.0000 Al
```

Symmetry   Pm-3m (221)
Calculated total energy   -3.3195 eV per atom
Energy above the lowest structure with this stoichiometry   0 meV per atom



Calculated M_tot in order - 0.00, 0.00, 0.41 Bohr magnetons per cell
Calculated DFT formation energy in order - -0.1433, 0.0465, 0.6192 eV/atom